Entry from Alexandria via LeMat-Bulk: a relaxed structure of CaEr4Pd4 (GGA-PBE).

Values from the calculation:
ΔH_f (0 K) = -0.69 eV/atom
SG = No. 86
crystal system = tetragonal
total magnetic moment = 0.000 μB/atom
E = -5.248 eV/atom

a b c (Å): 9.1255 9.1255 5.6362
angles (deg): 90.00 90.00 90.00
Sites, in units of the cell vectors:
Ca 0.2500 0.2500 0.2500
Ca 0.7500 0.7500 0.7500
Er 0.0826 0.6518 0.1631
Er 0.1518 0.9174 0.6631
Er 0.3482 0.5826 0.6631
Er 0.4174 0.8482 0.1631
Er 0.5826 0.1518 0.8369
Er 0.6518 0.4174 0.3369
Er 0.8482 0.0826 0.3369
Er 0.9174 0.3482 0.8369
Pd 0.0431 0.6186 0.6632
Pd 0.1186 0.9569 0.1632
Pd 0.3814 0.5431 0.1632
Pd 0.4569 0.8814 0.6632
Pd 0.5431 0.1186 0.3368
Pd 0.6186 0.4569 0.8368
Pd 0.8814 0.0431 0.8368
Pd 0.9569 0.3814 0.3368